Record 1
A relaxed structure of CaTl2W. Source: Alexandria, functional PBE-GGA.

The structure in POSCAR format:
```
CaTl2W
1.0
-2.367 2.367 4.120
2.367 -2.367 4.120
2.367 2.367 -4.120
Ca Tl W
1 2 1
Cartesian
0.000 0.000 0.000
2.367 0.000 2.060
0.000 2.367 2.060
0.000 0.000 4.120
```

Computed properties:
Total DFT energy (no corrections)   -4.262 eV per atom
Fermi-level density of states   3.773 states/eV per cell
Space-group type   I4/mmm
Formation enthalpy at 0 K   0.66 eV/atom
Energy relative to the lowest polymorph listed for this composition   137 meV per atom



Record 2
A relaxed structure of CaTl2W. Source: Alexandria, functional PBE-GGA.

The structure in POSCAR format:
```
CaTl2W
1.0
1.633 0.943 10.466
-1.633 0.943 10.466
0.000 -1.885 10.466
Ca Tl W
1 2 1
Cartesian
0.000 0.000 0.000
0.000 0.000 16.109
0.000 0.000 23.791
0.000 0.000 8.027
```

Computed properties:
Total DFT energy (no corrections)   -4.215 eV per atom
Fermi-level density of states   1.833 states/eV per cell
Space-group type   R3m
Formation enthalpy at 0 K   0.71 eV/atom
Energy relative to the lowest polymorph listed for this composition   184 meV per atom



Record 3
A relaxed structure of CaTlW2. Source: Alexandria, functional PBE-GGA.

The structure in POSCAR format:
```
CaTlW2
1.0
1.709 -2.521 0.000
1.709 2.521 0.000
0.000 0.000 9.787
Ca Tl W
1 1 2
Cartesian
0.000 0.000 0.000
1.709 0.000 2.790
0.000 0.000 5.300
1.709 0.000 7.203
```

Computed properties:
Total DFT energy (no corrections)   -6.976 eV per atom
Fermi-level density of states   3.170 states/eV per cell
Space-group type   Cmm2
Formation enthalpy at 0 K   0.59 eV/atom
Energy relative to the lowest polymorph listed for this composition   152 meV per atom



Record 4
A relaxed structure of CaTl2W. Source: Alexandria, functional PBE-GGA.

The structure in POSCAR format:
```
CaTl2W
1.0
5.596 -1.525 0.000
5.596 1.525 0.000
-0.322 0.000 5.434
Ca Tl W
1 2 1
Cartesian
0.000 0.000 0.000
5.522 0.000 2.774
8.324 0.000 1.332
2.645 0.000 4.085
```

Computed properties:
Total DFT energy (no corrections)   -4.226 eV per atom
Fermi-level density of states   2.579 states/eV per cell
Space-group type   Cm
Formation enthalpy at 0 K   0.70 eV/atom
Energy relative to the lowest polymorph listed for this composition   173 meV per atom



Record 5
A relaxed structure of CaTlW2. Source: Alexandria, functional PBE-GGA.

The structure in POSCAR format:
```
CaTlW2
1.0
2.921 0.000 0.000
0.000 5.229 0.000
-0.342 0.000 5.334
Ca Tl W
1 1 2
Cartesian
0.000 0.000 0.000
1.289 0.000 2.667
0.727 2.614 4.115
1.851 2.614 1.219
```

Computed properties:
Total DFT energy (no corrections)   -6.727 eV per atom
Fermi-level density of states   2.431 states/eV per cell
Space-group type   P2/m
Formation enthalpy at 0 K   0.84 eV/atom
Energy relative to the lowest polymorph listed for this composition   402 meV per atom



Record 6
A relaxed structure of CaTlW2. Source: Alexandria, functional PBE-GGA.

The structure in POSCAR format:
```
CaTlW2
1.0
1.509 0.871 10.230
-1.509 0.871 10.230
0.000 -1.742 10.230
Ca Tl W
1 1 2
Cartesian
0.000 0.000 0.000
0.000 0.000 15.346
0.000 0.000 7.554
0.000 0.000 23.138
```

Computed properties:
Total DFT energy (no corrections)   -6.458 eV per atom
Fermi-level density of states   4.721 states/eV per cell
Space-group type   R-3m
Formation enthalpy at 0 K   1.11 eV/atom
Energy relative to the lowest polymorph listed for this composition   670 meV per atom



Record 7
A relaxed structure of CaTl2W. Source: Alexandria, functional PBE-GGA.

The structure in POSCAR format:
```
CaTl2W
1.0
3.173 0.000 0.000
0.000 3.173 0.000
0.000 0.000 8.961
Ca Tl W
1 2 1
Cartesian
0.000 0.000 0.000
1.587 1.587 2.420
1.587 1.587 6.540
0.000 0.000 4.480
```

Computed properties:
Total DFT energy (no corrections)   -4.399 eV per atom
Fermi-level density of states   2.260 states/eV per cell
Space-group type   P4/mmm
Formation enthalpy at 0 K   0.52 eV/atom
Energy relative to the lowest polymorph listed for this composition   0 meV per atom



Record 8
A relaxed structure of CaTlW2. Source: Alexandria, functional PBE-GGA.

The structure in POSCAR format:
```
CaTlW2
1.0
0.000 3.430 3.430
3.430 0.000 3.430
3.430 3.430 0.000
Ca Tl W
1 1 2
Cartesian
0.000 0.000 0.000
3.430 3.430 3.430
1.715 1.715 1.715
5.146 5.146 5.146
```

Computed properties:
Total DFT energy (no corrections)   -6.029 eV per atom
Fermi-level density of states   4.724 states/eV per cell
Space-group type   Fm-3m
Formation enthalpy at 0 K   1.54 eV/atom
Energy relative to the lowest polymorph listed for this composition   1099 meV per atom



Record 9
A relaxed structure of CaTl4W. Source: Alexandria, functional PBE-GGA.

The structure in POSCAR format:
```
CaTl4W
1.0
0.000 4.367 4.367
4.367 0.000 4.367
4.367 4.367 0.000
Ca Tl W
1 4 1
Cartesian
0.000 0.000 0.000
5.453 3.280 3.280
3.280 5.453 3.280
3.280 3.280 5.453
5.453 5.453 5.453
2.183 2.183 2.183
```

Computed properties:
Total DFT energy (no corrections)   -3.255 eV per atom
Fermi-level density of states   5.090 states/eV per cell
Space-group type   F-43m
Formation enthalpy at 0 K   0.82 eV/atom



Record 10
A relaxed structure of CaTl2W. Source: Alexandria, functional PBE-GGA.

The structure in POSCAR format:
```
CaTl2W
1.0
1.659 0.958 9.816
-1.659 0.958 9.816
0.000 -1.915 9.816
Ca Tl W
1 2 1
Cartesian
0.000 0.000 0.000
0.000 0.000 7.202
0.000 0.000 22.245
0.000 0.000 14.724
```

Computed properties:
Total DFT energy (no corrections)   -4.290 eV per atom
Fermi-level density of states   4.437 states/eV per cell
Space-group type   R-3m
Formation enthalpy at 0 K   0.63 eV/atom
Energy relative to the lowest polymorph listed for this composition   109 meV per atom



Record 11
A relaxed structure of CaTl2W. Source: Alexandria, functional PBE-GGA.

The structure in POSCAR format:
```
CaTl2W
1.0
3.183 -4.504 0.000
3.183 4.504 0.000
0.000 0.000 3.121
Ca Tl W
1 2 1
Cartesian
0.000 0.000 0.000
1.592 2.252 1.561
1.592 -2.252 1.561
3.183 0.000 0.000
```

Computed properties:
Total DFT energy (no corrections)   -4.227 eV per atom
Fermi-level density of states   3.894 states/eV per cell
Space-group type   Cmmm
Formation enthalpy at 0 K   0.70 eV/atom
Energy relative to the lowest polymorph listed for this composition   172 meV per atom



Record 12
A relaxed structure of CaTlW2. Source: Alexandria, functional PBE-GGA.

The structure in POSCAR format:
```
CaTlW2
1.0
3.331 0.000 0.000
0.000 3.331 0.000
0.000 0.000 7.855
Ca Tl W
1 1 2
Cartesian
0.000 0.000 0.000
1.666 1.666 2.386
0.000 0.000 4.455
1.666 1.666 5.631
```

Computed properties:
Total DFT energy (no corrections)   -7.128 eV per atom
Fermi-level density of states   3.415 states/eV per cell
Space-group type   P4mm
Formation enthalpy at 0 K   0.44 eV/atom
Energy relative to the lowest polymorph listed for this composition   0 meV per atom



Please write out number 10 again, unchanged.
A relaxed structure of CaTl2W. Source: Alexandria, functional PBE-GGA.

The structure in POSCAR format:
```
CaTl2W
1.0
1.659 0.958 9.816
-1.659 0.958 9.816
0.000 -1.915 9.816
Ca Tl W
1 2 1
Cartesian
0.000 0.000 0.000
0.000 0.000 7.202
0.000 0.000 22.245
0.000 0.000 14.724
```

Computed properties:
Total DFT energy (no corrections)   -4.290 eV per atom
Fermi-level density of states   4.437 states/eV per cell
Space-group type   R-3m
Formation enthalpy at 0 K   0.63 eV/atom
Energy relative to the lowest polymorph listed for this composition   109 meV per atom



Q: Which value of formation enthalpy at 0 K does entry 8 give?
A: 1.54 eV/atom



Q: Which formula does entry 9 have?
A: CaTl4W



Q: Which of these has the highest formation enthalpy at 0 K?
A: number 8